# 1
A geometry-optimized LaMn2Ni structure, computed with PBE.

Computed properties:
ΔH_f (0 K) ... 0.457 eV per atom

```
LaMn2Ni
1.0
5.447 0.000 0.000
0.000 9.371 0.000
-1.555 0.000 2.726
La Mn Ni
2 4 2
Direct
0.000 0.000 0.000
0.500 0.500 0.000
0.250 0.250 0.500
0.250 0.750 0.500
0.750 0.250 0.500
0.750 0.750 0.500
0.000 0.500 0.000
0.500 0.000 0.000
```

---

# 2
A geometry-optimized CrNiPd structure, computed with PBE.

Computed properties:
ΔH_f (0 K) ... 0.063 eV per atom

```
CrNiPd
1.0
2.621 0.000 0.000
0.000 2.621 0.000
0.000 0.000 11.031
Cr Ni Pd
2 2 2
Direct
0.000 0.000 0.000
0.500 0.500 0.500
0.000 0.000 0.647
0.500 0.500 0.147
0.000 0.000 0.326
0.500 0.500 0.826
```

---

# 3
A geometry-optimized Sm5Ho6Tl structure, computed with PBE.

Computed properties:
ΔH_f (0 K) ... -0.026 eV per atom

```
Sm5Ho6Tl
1.0
5.855 -5.286 0.000
5.855 5.286 0.000
-1.008 0.000 6.067
Sm Ho Tl
5 6 1
Direct
0.000 0.000 0.000
0.168 0.832 0.500
0.338 0.662 0.000
0.662 0.338 0.000
0.832 0.168 0.500
0.089 0.416 0.243
0.250 0.250 0.739
0.416 0.089 0.243
0.584 0.911 0.757
0.750 0.750 0.261
0.911 0.584 0.757
0.500 0.500 0.500
```

---

# 4
A geometry-optimized Sm2Er3Sc structure, computed with PBE.

Computed properties:
ΔH_f (0 K) ... 0.037 eV per atom

```
Sm2Er3Sc
1.0
4.947 0.000 0.000
0.000 14.847 0.000
0.000 0.000 4.986
Sm Er Sc
4 6 2
Direct
0.000 0.163 0.000
0.000 0.837 0.000
0.500 0.337 0.000
0.500 0.663 0.000
0.000 0.000 0.500
0.000 0.335 0.500
0.000 0.665 0.500
0.500 0.165 0.500
0.500 0.500 0.500
0.500 0.835 0.500
0.000 0.500 0.000
0.500 0.000 0.000
```

---

# 5
A geometry-optimized CoCuRuRh structure, computed with PBE.

Computed properties:
ΔH_f (0 K) ... 0.292 eV per atom

```
CoCuRuRh
1.0
5.966 0.000 0.000
0.000 5.966 0.000
0.000 0.000 5.966
Co Cu Ru Rh
4 4 4 4
Direct
0.000 0.000 0.000
0.000 0.500 0.500
0.500 0.000 0.500
0.500 0.500 0.000
0.250 0.250 0.250
0.250 0.750 0.750
0.750 0.250 0.750
0.750 0.750 0.250
0.250 0.250 0.750
0.250 0.750 0.250
0.750 0.250 0.250
0.750 0.750 0.750
0.000 0.000 0.500
0.000 0.500 0.000
0.500 0.000 0.000
0.500 0.500 0.500
```

---

# 6
A geometry-optimized LiNdBi structure, computed with PBE.

Computed properties:
ΔH_f (0 K) ... -0.520 eV per atom

```
LiNdBi
1.0
8.807 0.000 0.000
0.000 4.543 0.000
-0.813 0.000 12.844
Li Nd Bi
6 6 6
Direct
0.021 0.250 0.084
0.062 0.250 0.449
0.181 0.750 0.733
0.819 0.250 0.267
0.938 0.750 0.551
0.979 0.750 0.916
0.329 0.250 0.251
0.329 0.750 0.496
0.373 0.250 0.916
0.627 0.750 0.084
0.671 0.250 0.504
0.671 0.750 0.749
0.039 0.750 0.313
0.242 0.750 0.060
0.418 0.250 0.671
0.582 0.750 0.329
0.758 0.250 0.940
0.961 0.250 0.687
```

---

Which of these has the lowest ΔH_f (0 K)? LiNdBi